# 1
A relaxed Ba2Ti2F11 crystal. Source: the Alexandria database, functional PBEsol.

Output
Total magnetic moment   0.07 μB per atom
DFT total energy   -285.83 eV for the cell shown

Cell: 7.4208 7.4208 13.7223 Å, 90.00 90.00 120.00°
Closest atoms and distances in Å follow each position.
Space group P3_2 (No. 145)
One atom of each set of equivalent atoms:
Ba 0.0553 0.2274 0.0000 [3 per cell]  1 F 2.44
Ba 0.5174 0.1782 0.8064 [3 per cell]  8 F 2.65-2.88
Ti 0.1439 0.5158 0.7494 [3 per cell]  6 F 1.82-1.98
Ti 0.3232 0.2456 0.5802 [3 per cell]  5 F 1.88-2.06
F 0.0483 0.1671 0.5429 [3 per cell]  1 Ti 1.89
F 0.0635 0.5246 0.6253 [3 per cell]  1 Ti 1.82
F 0.0802 0.6933 0.0485 [3 per cell]  2 Ti 1.94-2.16
F 0.1545 0.5900 0.8883 [3 per cell]  2 Ti 1.97-2.15
F 0.2003 0.0277 0.6763 [3 per cell]  1 Ti 1.93
F 0.2294 0.6280 0.4154 [3 per cell]  1 Ti 1.89
F 0.2919 0.0496 0.1357 [3 per cell]  1 Ti 1.95
F 0.3416 0.0320 0.5162 [3 per cell]  1 Ti 1.88
F 0.4067 0.3339 0.4377 [3 per cell]  2 Ti 1.98-2.06
F 0.4122 0.3112 0.9685 [3 per cell]  2 Ba 2.44-2.70, 1 F 2.57
F 0.6006 0.2092 0.2906 [3 per cell]  1 Ti 1.93

# 2
A relaxed BaTiZnF7 crystal. Source: the Alexandria database, functional PBEsol.

Output
Total magnetic moment   0.10 μB per atom
DFT total energy   -229.57 eV for the cell shown

Cell: 5.6232 9.9186 9.5534 Å, 90.00 92.82 90.00°
Closest atoms and distances in Å follow each position.
Space group P2_1/c (No. 14)
One atom of each set of equivalent atoms:
Ba 0.2362 0.1834 0.0015 [4 per cell]  7 F 2.63-2.92
Ti 0.3042 0.6102 0.1890 [4 per cell]  6 F 1.89-2.02
Zn 0.1948 0.6017 0.8102 [4 per cell]  5 F 1.92-2.07
F 0.0171 0.7098 0.2480 [4 per cell]  1 Ti 2.00, 1 Zn 2.19
F 0.1065 0.5403 0.6237 [4 per cell]  1 Zn 1.92
F 0.1350 0.0557 0.6258 [4 per cell]  1 Ti 1.98, 1 Zn 2.03
F 0.2417 0.6938 0.0027 [4 per cell]  1 Ti 1.98, 1 Zn 2.06
F 0.3822 0.0565 0.3795 [4 per cell]  1 Ti 1.98, 1 Zn 1.99
F 0.3945 0.5409 0.3684 [4 per cell]  1 Ti 1.89
F 0.4764 0.7191 0.7497 [4 per cell]  1 Ti 2.02, 1 Zn 2.07

# 3
A relaxed Ba2TlF2 crystal. Source: the Alexandria database, functional PBEsol.

Output
Total magnetic moment   0.17 μB per atom
DFT total energy   -45.54 eV for the cell shown

Cell: 4.2693 4.2693 15.3571 Å, 90.00 90.00 90.00°
Closest atoms and distances in Å follow each position.
Space group I4/mmm (No. 139)
One atom of each set of equivalent atoms:
Ba 0.0000 0.0000 0.1500 [4 per cell]  4 F 2.63
Tl 0.0000 0.0000 0.5000 [2 per cell]  8 Ba 3.80
F 0.0000 0.5000 0.2500 [4 per cell]  4 Ba 2.63

# 4
A relaxed BaVZnF7 crystal. Source: the Alexandria database, functional PBEsol.

Output
Total magnetic moment   0.20 μB per atom
DFT total energy   -227.83 eV for the cell shown

Cell: 5.5752 9.8753 9.5302 Å, 90.00 92.95 90.00°
Closest atoms and distances in Å follow each position.
Space group P2_1/c (No. 14)
One atom of each set of equivalent atoms:
Ba 0.2389 0.1823 0.0011 [4 per cell]  6 F 2.62-2.93
V 0.3049 0.6124 0.1882 [4 per cell]  6 F 1.88-1.97
Zn 0.1948 0.6012 0.8108 [4 per cell]  5 F 1.92-2.08
F 0.0198 0.7075 0.2486 [4 per cell]  1 V 1.96
F 0.1113 0.5423 0.6228 [4 per cell]  1 Zn 1.92
F 0.1383 0.0519 0.6278 [4 per cell]  1 V 1.94, 1 Zn 2.03
F 0.2394 0.6930 0.0028 [4 per cell]  1 V 1.95, 1 Zn 2.05
F 0.3883 0.0565 0.3791 [4 per cell]  1 V 1.94, 1 Zn 1.99
F 0.3901 0.5418 0.3667 [4 per cell]  1 V 1.88
F 0.4772 0.7214 0.7486 [4 per cell]  1 V 1.97, 1 Zn 2.08

- Which formula does entry 3 have?
  Ba2TlF2

- total magnetic moment of number 4 (BaVZnF7)?
  0.20 μB per atom

- Among the records above, which one has the highest DFT total energy?
  Ba2TlF2

- DFT total energy of number 3 (Ba2TlF2)?
  -45.54 eV for the cell shown